# 1
Entry from Alexandria: a geometry-optimized B2PdAuI structure (PBE).

Cell lengths 4.2782, 4.2874, 6.4109 Å; angles 71.51, 79.17, 74.64 degrees
Fractional coordinates of all 5 atoms:
Au  0.5815  0.3015  0.4314
Pd  0.9740  0.6939  0.4350
B  0.4428  0.8253  0.4432
B  0.0989  0.1330  0.4998
I  0.1332  0.8571  0.8778

## Properties
SG: No. 1
Mass density in g/cm³: 7.02
Formation energy (no corrections) in eV per formula unit: 1.146
Relative energy among the computed polymorphs in meV per atom: 48
Electronic total energy in eV/f.u.: -22.23

---

# 2
Entry from Alexandria: a geometry-optimized B2PdAuI structure (PBE).

Cell lengths 3.0646, 4.1677, 8.9181 Å; angles 82.02, 99.73, 111.53 degrees
Fractional coordinates of all 5 atoms:
Pd  0.0960  0.2344  0.8008
B  0.3833  0.8110  0.7986
B  0.8149  0.6617  0.8114
Au  0.8818  0.5424  0.0604
I  0.9755  0.4230  0.3705

## Properties
SG: No. 1
Mass density in g/cm³: 7.21
Formation energy (no corrections) in eV per formula unit: 0.972
Relative energy among the computed polymorphs in meV per atom: 13
Electronic total energy in eV/f.u.: -22.40

---

# 3
Entry from Alexandria: a geometry-optimized Rb2BAuI6 structure (PBE).

Cell lengths 8.7931, 8.7931, 8.1696 Å; angles 57.44, 57.44, 90.00 degrees
Fractional coordinates of all 10 atoms:
I  0.7683  0.7683  0.0000
I  0.2317  0.2317  0.0000
I  0.7683  0.2317  0.0000
I  0.3038  0.3038  0.3925
I  0.2317  0.7683  0.0000
I  0.6962  0.6962  0.6075
Rb  0.2500  0.7500  0.5000
Rb  0.7500  0.2500  0.5000
Au  0.0000  0.0000  0.0000
B  0.5000  0.5000  0.0000

## Properties
SG: No. 139
Mass density in g/cm³: 4.62
Formation energy (no corrections) in eV per formula unit: -3.729
Electronic total energy in eV/f.u.: -24.92

---

# 4
Entry from Alexandria: a geometry-optimized BRhAuI structure (PBE).

Cell lengths 7.0646, 3.5328, 6.0573 Å; angles 90.00, 95.20, 90.00 degrees
Fractional coordinates of all 8 atoms:
Rh  0.7065  0.0000  0.7064
Rh  0.7065  0.5000  0.2064
Au  0.4310  0.0000  0.3420
Au  0.4310  0.5000  0.8420
I  0.0306  0.0000  0.3229
I  0.0306  0.5000  0.8229
B  0.6039  0.5000  0.5280
B  0.6039  0.0000  0.0280

## Properties
SG: No. 8
Mass density in g/cm³: 9.65
Formation energy (no corrections) in eV per formula unit: 0.904
Relative energy among the computed polymorphs in meV per atom: 14
Electronic total energy in eV/f.u.: -17.95

---

# 5
Entry from Alexandria: a geometry-optimized BRhAuI structure (PBE).

Cell lengths 6.7911, 3.3078, 7.4581 Å; angles 90.00, 98.06, 90.00 degrees
Fractional coordinates of all 8 atoms:
B  0.5640  0.5000  0.3891
B  0.5640  0.0000  0.8891
Rh  0.7027  0.5000  0.0016
Rh  0.7027  0.0000  0.5016
Au  0.4612  0.5000  0.6812
Au  0.4612  0.0000  0.1812
I  0.0441  0.0000  0.0042
I  0.0441  0.5000  0.5042

## Properties
SG: No. 8
Mass density in g/cm³: 8.76
Formation energy (no corrections) in eV per formula unit: 1.003
Relative energy among the computed polymorphs in meV per atom: 38
Electronic total energy in eV/f.u.: -17.85

---

# 6
Entry from Alexandria: a geometry-optimized BRhAuI structure (PBE).

Cell lengths 3.4668, 3.4697, 7.7424 Å; angles 102.71, 90.02, 119.97 degrees
Fractional coordinates of all 4 atoms:
B  0.2614  0.5780  0.3970
Rh  0.8995  0.8544  0.3107
I  0.7626  0.5812  0.9488
Au  0.6512  0.3574  0.5715

## Properties
SG: No. 8
Mass density in g/cm³: 9.31
Formation energy (no corrections) in eV per formula unit: 0.849
Relative energy among the computed polymorphs in meV per atom: 0
Electronic total energy in eV/f.u.: -18.01

---

# 7
Entry from Alexandria: a geometry-optimized BRhAuI structure (PBE).

Cell lengths 3.7021, 4.1813, 5.8176 Å; angles 90.00, 102.36, 90.00 degrees
Fractional coordinates of all 4 atoms:
Au  0.8587  0.0000  0.4016
B  0.9089  0.5000  0.5399
I  0.3001  0.5000  0.9017
Rh  0.3576  0.5000  0.3849

## Properties
SG: No. 6
Mass density in g/cm³: 8.26
Formation energy (no corrections) in eV per formula unit: 0.962
Relative energy among the computed polymorphs in meV per atom: 28
Electronic total energy in eV/f.u.: -17.89

---

# 8
Entry from Alexandria: a geometry-optimized BRhAuI structure (PBE).

Cell lengths 6.5224, 3.2785, 7.5482 Å; angles 90.00, 90.55, 90.00 degrees
Fractional coordinates of all 8 atoms:
Rh  0.7216  0.0000  0.6802
Rh  0.7216  0.5000  0.1802
I  0.0135  0.5000  0.9079
I  0.0135  0.0000  0.4079
B  0.5698  0.5000  0.5922
B  0.5698  0.0000  0.0922
Au  0.4671  0.5000  0.8909
Au  0.4671  0.0000  0.3909

## Properties
SG: No. 8
Mass density in g/cm³: 9.00
Formation energy (no corrections) in eV per formula unit: 0.924
Relative energy among the computed polymorphs in meV per atom: 19
Electronic total energy in eV/f.u.: -17.93

---

# 9
Entry from Alexandria: a geometry-optimized SiBAuI structure (PBE).

Cell lengths 3.3654, 3.5037, 8.2623 Å; angles 87.60, 78.19, 61.26 degrees
Fractional coordinates of all 4 atoms:
Si  0.6412  0.7657  0.0316
B  0.2764  0.4281  0.0988
Au  0.8149  0.7034  0.7373
I  0.1402  0.4214  0.3807

## Properties
SG: No. 1
Mass density in g/cm³: 7.22
Formation energy (no corrections) in eV per formula unit: 1.535
Relative energy among the computed polymorphs in meV per atom: 96
Electronic total energy in eV/f.u.: -15.39

---

# 10
Entry from Alexandria: a geometry-optimized SiBAuI structure (PBE).

Cell lengths 3.4427, 3.4743, 8.7960 Å; angles 78.84, 78.52, 60.34 degrees
Fractional coordinates of all 4 atoms:
Si  0.3350  0.6987  0.3364
Au  0.0663  0.5077  0.0792
I  0.1637  0.6401  0.7642
B  0.0046  0.3636  0.3324

## Properties
SG: No. 1
Mass density in g/cm³: 6.77
Formation energy (no corrections) in eV per formula unit: 1.238
Relative energy among the computed polymorphs in meV per atom: 22
Electronic total energy in eV/f.u.: -15.69

---

# 11
Entry from Alexandria: a geometry-optimized SiBAuI structure (PBE).

Cell lengths 3.7660, 4.1866, 6.0246 Å; angles 90.15, 78.34, 89.85 degrees
Fractional coordinates of all 4 atoms:
B  0.5970  0.8693  0.9977
Au  0.4234  0.3724  0.0472
I  0.8709  0.9573  0.5775
Si  0.0448  0.8706  0.1292

## Properties
SG: No. 1
Mass density in g/cm³: 6.48
Formation energy (no corrections) in eV per formula unit: 1.151
Relative energy among the computed polymorphs in meV per atom: 0
Electronic total energy in eV/f.u.: -15.78

---

# 12
Entry from Alexandria: a geometry-optimized SiBAuI structure (PBE).

Cell lengths 3.6496, 3.7057, 7.2610 Å; angles 89.85, 75.55, 89.95 degrees
Fractional coordinates of all 4 atoms:
Si  0.8086  0.2328  0.7864
I  0.9485  0.7341  0.5046
Au  0.1758  0.7313  0.0560
B  0.2516  0.2321  0.9015

## Properties
SG: No. 1
Mass density in g/cm³: 6.33
Formation energy (no corrections) in eV per formula unit: 1.304
Relative energy among the computed polymorphs in meV per atom: 38
Electronic total energy in eV/f.u.: -15.62

---

What volume values result from the calculations? In sequence: 106.85 104.07 409.74 150.56 165.88 78.03 87.97 161.40 83.43 89.03 93.03 95.09 Å³/cell.